The following is a PBE calculation of a relaxed structure of Np3Co3As4, from Alexandria. Values from VASP.

Properties
Symmetry: No. 220
E_tot: -167.955 eV for the cell shown
Magnetization: 6.01 μB/f.u.
DFT formation energy: -0.52 eV/atom

Structure (Quantum ESPRESSO input):
```
&SYSTEM
  ibrav = 0, nat = 20, ntyp = 3
/
ATOMIC_SPECIES
Co 58.93 Co.upf
As 74.92 As.upf
Np 237.00 Np.upf
CELL_PARAMETERS angstrom
7.2441 0.0000 -2.5612
-3.6221 6.2736 -2.5612
0.0000 0.0000 7.6835
ATOMIC_POSITIONS crystal
Co 0.6250 0.8750 0.2500
As 0.6622 0.1622 0.1622
Co 0.8750 0.6250 0.7500
As 0.3378 0.5000 0.0000
Np 0.3750 0.1250 0.7500
Np 0.6250 0.7500 0.8750
As 0.0000 0.0000 0.3378
Np 0.7500 0.6250 0.3750
Np 0.2500 0.8750 0.1250
As 0.8378 0.5000 0.0000
Co 0.3750 0.2500 0.1250
As 0.1622 0.6622 0.6622
As 0.0000 0.0000 0.8378
Co 0.2500 0.3750 0.6250
As 0.5000 0.3378 0.5000
Np 0.8750 0.2500 0.6250
Co 0.1250 0.7500 0.3750
Co 0.7500 0.1250 0.8750
Np 0.1250 0.3750 0.2500
As 0.5000 0.8378 0.5000
```